[1]
This record from Alexandria via LeMat-Bulk describes a geometry-optimized Ge3CI structure. The functional is PBE-GGA.

Summary:
Total moment   0.7 μB per cell
Formation energy from raw total energies   2.471 eV/atom
Excess energy over the best structure of this formula in the dataset   1375 meV/atom

a b c (Å): 5.4978 5.4978 5.4978
angles (deg): 90.00 90.00 90.00
Space group Pm-3m (No. 221)
Asymmetric unit:
1 Ge 0.0000 0.0000 0.5000 x3
2 C 0.5000 0.5000 0.5000 x1
3 I 0.0000 0.0000 0.0000 x1


[2]
This record from Alexandria via LeMat-Bulk describes a geometry-optimized SiPb3 structure. The functional is PBE-GGA.

Summary:
Total moment   0.0 μB per cell
Formation energy from raw total energies   0.361 eV/atom
Excess energy over the best structure of this formula in the dataset   91 meV/atom

a b c (Å): 4.8294 4.8294 4.8294
angles (deg): 90.00 90.00 90.00
Space group Pm-3m (No. 221)
Asymmetric unit:
1 Si 0.0000 0.0000 0.0000 x1
2 Pb 0.0000 0.5000 0.5000 x3


[3]
This record from Alexandria via LeMat-Bulk describes a geometry-optimized Sc2OsCl structure. The functional is PBE-GGA.

Summary:
Total moment   0.0 μB per cell
Formation energy from raw total energies   -0.896 eV/atom
Excess energy over the best structure of this formula in the dataset   48 meV/atom

a b c (Å): 4.6934 4.4547 8.0721
angles (deg): 90.00 106.60 90.00
Space group C2/m (No. 12)
Asymmetric unit:
1 Sc 0.1019 0.0000 0.2023 x4
2 Os 0.0000 0.5000 0.0000 x2
3 Cl 0.0000 0.5000 0.5000 x2


[4]
This record from Alexandria via LeMat-Bulk describes a geometry-optimized CaAcSi2 structure. The functional is PBE-GGA.

Summary:
Total moment   0.0 μB per cell
Formation energy from raw total energies   -0.520 eV/atom

a b c (Å): 8.8056 4.0556 11.6505
angles (deg): 90.00 90.00 90.00
Space group Pnma (No. 62)
Asymmetric unit:
1 Ca 0.0034 0.2500 0.1139 x4
2 Ac 0.1301 0.7500 0.3633 x4
3 Si 0.1636 0.7500 0.6700 x4
4 Si 0.2485 0.2500 0.5653 x4


- Which value of total moment does entry 1 give?
  0.7 μB per cell


- Look up the total moment of the fourth one.
  0.0 μB per cell


- Among the records above, which one has the highest total moment?
  Ge3CI